The following is a PBE calculation of crystalline LaFe3Os at its relaxed geometry, from Alexandria via LeMat-Bulk.

extended XYZ file:
```
5
Lattice="4.662 0.000 0.000 0.000 4.662 0.000 0.000 0.000 4.662" Properties=species:S:1:pos:R:3 pbc="T T T"
La 0.000 0.000 0.000
Fe 0.000 2.331 2.331
Fe 2.331 0.000 2.331
Fe 2.331 2.331 0.000
Os 2.331 2.331 2.331
```

Values from the calculation:
energy = -37.90 eV per cell
volume = 101.35 Å³ per cell
excess energy over the best structure of this formula in the dataset = 0 meV per atom

The following is a PBE calculation of crystalline MnSi2Tc at its relaxed geometry, from Alexandria via LeMat-Bulk.

extended XYZ file:
```
8
Lattice="3.192 0.000 0.000 0.000 4.424 0.000 0.000 0.000 7.385" Properties=species:S:1:pos:R:3 pbc="T T T"
Mn 0.000 0.000 0.000
Mn 1.596 2.212 3.693
Si 0.000 2.212 1.920
Si 0.000 2.212 5.465
Si 1.596 0.000 1.773
Si 1.596 0.000 5.613
Tc 0.000 0.000 3.693
Tc 1.596 2.212 0.000
```

Values from the calculation:
energy = -62.20 eV per cell
raw formation energy = -0.180 eV per atom
volume = 104.30 Å³ per cell
excess energy over the best structure of this formula in the dataset = 185 meV per atom

Q: What is the energy in the second record?
A: -62.20 eV per cell